{
  "formula": "Sc2NiW",
  "functional": "PBE-GGA",
  "state": "relaxed",
  "cell": [[3.479, 0.000, 0.000], [0.000, 4.764, 0.000], [0.000, 0.000, 4.155]],
  "species": ["Ni", "Sc", "Sc", "W"],
  "fractional_positions": [[0.000, 0.500, 0.500], [0.000, 0.000, 0.000], [0.500, 0.500, 0.000], [0.500, 0.000, 0.500]],
  "polymorph_energy_ev_per_atom": 0.266,
  "sg": "Pmmm",
  "ef_ev_per_atom": 0.240
}